No. 1
An optimized crystal structure of AgBiSe3, computed with PBE. Values from VASP.

Properties
electronic total energy	-3.565	eV/atom
distance to the lowest polymorph of the same formula	0.00	eV/f.u.
uncorrected formation energy	-0.128	eV/atom
N(E_F)	0.2239	states/eV per atom
space group	P2_1/m

Structure (Quantum ESPRESSO input):
```
&SYSTEM
  ibrav = 0, nat = 10, ntyp = 3
/
ATOMIC_SPECIES
Ag 107.87 Ag.upf
Bi 208.98 Bi.upf
Se 78.96 Se.upf
ATOMIC_POSITIONS angstrom
Ag 0.000 0.000 0.000
Ag 0.000 4.359 0.000
Bi 0.005 2.180 3.760
Bi 2.113 6.539 3.504
Se -0.007 6.539 1.525
Se -0.045 5.319 5.459
Se -0.045 7.758 5.459
Se 2.162 0.960 1.805
Se 2.162 3.399 1.805
Se 2.125 2.180 5.739
CELL_PARAMETERS angstrom
4.167 0.000 0.000
0.000 8.718 0.000
-2.050 0.000 7.264
```

=====

No. 2
An optimized crystal structure of AgBiSe2, computed with PBE. Values from VASP.

Properties
electronic total energy	-3.692	eV/atom
uncorrected formation energy	-0.267	eV/atom
N(E_F)	0.0000	states/eV per atom
space group	R-3m

Structure (Quantum ESPRESSO input):
```
&SYSTEM
  ibrav = 0, nat = 12, ntyp = 3
/
ATOMIC_SPECIES
Ag 107.87 Ag.upf
Bi 208.98 Bi.upf
Se 78.96 Se.upf
ATOMIC_POSITIONS angstrom
Ag 0.000 0.000 0.000
Ag 0.000 2.424 13.243
Ag 2.099 1.212 6.622
Bi 0.000 0.000 9.932
Bi 0.000 2.424 3.311
Bi 2.099 1.212 16.554
Se 0.000 0.000 5.048
Se 0.000 0.000 14.816
Se 0.000 2.424 8.195
Se 0.000 2.424 18.291
Se 2.099 1.212 1.573
Se 2.099 1.212 11.670
CELL_PARAMETERS angstrom
4.199 0.000 0.000
-2.099 3.636 0.000
0.000 0.000 19.865
```

=====

No. 3
An optimized crystal structure of AgBi3Se, computed with PBE. Values from VASP.

Properties
electronic total energy	-2.946	eV/atom
distance to the lowest polymorph of the same formula	0.00	eV/f.u.
uncorrected formation energy	0.650	eV/atom
N(E_F)	1.3241	states/eV per atom
space group	Pm-3m

Structure (Quantum ESPRESSO input):
```
&SYSTEM
  ibrav = 0, nat = 5, ntyp = 3
/
ATOMIC_SPECIES
Ag 107.87 Ag.upf
Bi 208.98 Bi.upf
Se 78.96 Se.upf
ATOMIC_POSITIONS angstrom
Ag 0.000 0.000 0.000
Bi 0.000 2.796 2.796
Bi 2.796 0.000 2.796
Bi 2.796 2.796 0.000
Se 2.796 2.796 2.796
CELL_PARAMETERS angstrom
5.591 0.000 0.000
0.000 5.591 0.000
0.000 0.000 5.591
```

=====

No. 4
An optimized crystal structure of Ag8BiSe6, computed with PBE. Values from VASP.

Properties
electronic total energy	-3.247	eV/atom
uncorrected formation energy	-0.073	eV/atom
N(E_F)	0.8786	states/eV per atom
space group	R-3

Structure (Quantum ESPRESSO input):
```
&SYSTEM
  ibrav = 0, nat = 15, ntyp = 3
/
ATOMIC_SPECIES
Ag 107.87 Ag.upf
Bi 208.98 Bi.upf
Se 78.96 Se.upf
ATOMIC_POSITIONS angstrom
Ag 0.000 0.000 1.794
Ag -1.808 0.232 7.883
Ag 0.703 -1.682 7.883
Ag -1.105 -1.450 14.088
Ag 1.105 1.450 7.883
Ag -0.703 1.682 14.088
Ag 1.808 -0.232 14.088
Ag 0.000 0.000 20.177
Bi 0.000 0.000 10.986
Se -1.420 -2.116 9.416
Se -2.542 0.171 12.555
Se -1.123 2.287 9.416
Se 1.123 -2.287 12.555
Se 2.542 -0.171 9.416
Se 1.420 2.116 12.555
CELL_PARAMETERS angstrom
3.764 2.173 7.324
-3.764 2.173 7.324
0.000 -4.347 7.324
```